DFT (GGA-PBE) results for an optimized crystal structure of TmAuO3.

Cell lengths 3.7550, 12.9551, 5.5391 Å; angles 90.00, 90.00, 90.00 degrees
Closest atoms and distances in Å follow each position.
Space group Pbcm (No. 57)
One atom of each set of equivalent atoms:
Tm: 0.2406 0.0714 0.2500 (multiplicity 4)  6 O 2.27-2.37
Au: 0.4412 0.6693 0.7500 (multiplicity 4)  4 O 2.01-2.02
O: 0.2431 0.5733 0.0030 (multiplicity 8)  1 Au 2.02
O: 0.2881 0.2500 0.0000 (multiplicity 4)  2 Au 2.01

Mass density (g/cm3): 10.20
Magnetic moment (μB per cell): 0.00
DOS(E_F) (states/eV/atom): 0.000
VASP energy (eV/cell): -127.80
ΔE_f (raw) (eV/f.u.): -9.33